Density functional theory data (PBE+U) for Cs2Mn3NiF12 after structural relaxation.

CIF file:
```
data_Cs2Mn3NiF12
_chemical_formula_sum 'Cs2 Mn3 Ni1 F12'
_cell_length_a 7.3832
_cell_length_b 7.3832
_cell_length_c 7.3832
_cell_angle_alpha 62.32
_cell_angle_beta 62.32
_cell_angle_gamma 62.32
_symmetry_space_group_name_H-M 'P 1'
_symmetry_Int_Tables_number 1
_symmetry_space_group_name_Hall 'P 1'
loop_
_atom_site_label
_atom_site_type_symbol
_atom_site_fract_x
_atom_site_fract_y
_atom_site_fract_z
_atom_site_occupancy
Cs1 Cs 0.6264 0.6264 0.6264 1
Cs2 Cs 0.3736 0.3736 0.3736 1
Mn1 Mn 0.5000 0.0000 0.0000 1
Mn2 Mn 0.0000 0.5000 0.0000 1
Mn3 Mn 0.0000 0.0000 0.5000 1
Ni1 Ni 0.0000 0.0000 0.0000 1
F1 F 0.3214 0.3214 0.9336 1
F2 F 0.9342 0.9342 0.3168 1
F3 F 0.3168 0.9342 0.9342 1
F4 F 0.9336 0.3214 0.3214 1
F5 F 0.9342 0.3168 0.9342 1
F6 F 0.3214 0.9336 0.3214 1
F7 F 0.6786 0.6786 0.0664 1
F8 F 0.0658 0.0658 0.6832 1
F9 F 0.6832 0.0658 0.0658 1
F10 F 0.0664 0.6786 0.6786 1
F11 F 0.0658 0.6832 0.0658 1
F12 F 0.6786 0.0664 0.6786 1
```

Computed properties:
The space group is R-3m (166). The calculation puts the total DFT energy (no corrections) at -5.316 eV/atom. The calculation puts the magnetization at 15.0 μB per formula unit.